(1)
Below is a geometry-optimized Be2TeP structure, with properties calculated at the GGA-PBEsol level.

a = 5.0304 Å, b = 5.0304 Å, c = 6.6830 Å
α = 112.11°, β = 112.11°, γ = 90.00°
Last column: nearest neighbours and their distance in Å.
Atoms (fractional coordinates):
Be (0.4283, 0.8750, 0.2500)  2 P 2.14
Be (0.1250, 0.1783, 0.7500)  2 P 2.14
Be (0.8217, 0.3750, 0.2500)  2 P 2.14
Be (0.6250, 0.5717, 0.7500)  2 P 2.14
Te (0.2500, 0.7500, 0.5000)  4 Be 2.43
Te (0.0000, 0.0000, 0.0000)  4 Be 2.43
P (0.5000, 0.5000, 0.0000)  4 Be 2.14
P (0.7500, 0.2500, 0.5000)  4 Be 2.14

Properties
N(E_F) = 0.39 states/eV/atom
excess energy over the best structure of this formula in the dataset = 0.000 eV per atom
total magnetization = 0.00 μB/atom
formation energy without anion corrections = -0.108 eV/atom

(2)
Below is a geometry-optimized MgZnAg structure, with properties calculated at the GGA-PBEsol level.

a = 3.3272 Å, b = 3.3167 Å, c = 5.0653 Å
α = 109.11°, β = 109.17°, γ = 90.00°
Last column: nearest neighbours and their distance in Å.
Atoms (fractional coordinates):
Mg (0.3330, 0.3330, 0.6661)  5 Zn 2.82-2.94, 5 Ag 2.82-2.93
Ag (0.0069, 0.0069, 0.0137)  4 Zn 2.72, 5 Mg 2.82-2.93
Zn (0.6601, 0.6601, 0.3202)  4 Ag 2.72, 5 Mg 2.82-2.94

Properties
N(E_F) = 0.25 states/eV/atom
excess energy over the best structure of this formula in the dataset = 0.000 eV per atom
total magnetization = 0.00 μB/atom